# BaSi2Pb GGA-PBE relaxed
# DOS(E_F) (states/eV per cell): 14.2
# Formation energy (no corrections) (eV per atom): 0.399
data_BaSi2Pb
_symmetry_space_group_name_H-M 'F -4 3 m'
_symmetry_Int_Tables_number 216
_symmetry_space_group_name_Hall 'F -4 2 3'
_cell_length_a 7.639
_cell_length_b 7.639
_cell_length_c 7.639
_cell_angle_alpha 90.00
_cell_angle_beta 90.00
_cell_angle_gamma 90.00
loop_
_atom_site_label
_atom_site_type_symbol
_atom_site_fract_x
_atom_site_fract_y
_atom_site_fract_z
Ba1 Ba 0.000 0.000 0.000
Si1 Si 0.000 0.000 0.500
Si2 Si 0.250 0.250 0.250
Pb1 Pb 0.250 0.250 0.750

# BaSiPb GGA-PBE relaxed
# DOS(E_F) (states/eV per cell): 10.2
# Energy above the most stable polymorph in this dataset (eV/atom): 0.4658
# Formation energy (no corrections) (eV per atom): 0.147
data_BaSiPb
_symmetry_space_group_name_H-M 'F -4 3 m'
_symmetry_Int_Tables_number 216
_symmetry_space_group_name_Hall 'F -4 2 3'
_cell_length_a 7.594
_cell_length_b 7.594
_cell_length_c 7.594
_cell_angle_alpha 90.00
_cell_angle_beta 90.00
_cell_angle_gamma 90.00
loop_
_atom_site_label
_atom_site_type_symbol
_atom_site_fract_x
_atom_site_fract_y
_atom_site_fract_z
Ba1 Ba 0.000 0.000 0.000
Si1 Si 0.000 0.000 0.500
Pb1 Pb 0.250 0.250 0.250

# BaSi2Pb GGA-PBE relaxed
# DOS(E_F) (states/eV per cell): 3.1
# Formation energy (no corrections) (eV per atom): 0.057
data_BaSi2Pb
_symmetry_space_group_name_H-M 'R -3 m'
_symmetry_Int_Tables_number 166
_symmetry_space_group_name_Hall '-R 3 2"'
_cell_length_a 4.8744
_cell_length_b 4.8744
_cell_length_c 17.0539
_cell_angle_alpha 90.00
_cell_angle_beta 90.00
_cell_angle_gamma 120.00
loop_
_atom_site_label
_atom_site_type_symbol
_atom_site_fract_x
_atom_site_fract_y
_atom_site_fract_z
Ba1 Ba 0.0000 0.0000 0.0000
Si1 Si 0.0000 0.0000 0.2049
Pb1 Pb 0.0000 0.0000 0.5000

# BaSi2Pb GGA-PBE relaxed
# DOS(E_F) (states/eV per cell): 3.9
# Formation energy (no corrections) (eV per atom): -0.071
data_BaSi2Pb
_symmetry_space_group_name_H-M 'C 1 2/m 1'
_symmetry_Int_Tables_number 12
_cell_length_a 10.361
_cell_length_b 3.964
_cell_length_c 6.338
_cell_angle_alpha 90.00
_cell_angle_beta 113.43
_cell_angle_gamma 90.00
loop_
_symmetry_equiv_pos_as_xyz
'x,y,z'
'-x,-y,-z'
'-x,y,-z'
'x,-y,z'
'x+1/2,y+1/2,z'
'-x+1/2,-y+1/2,-z'
'-x+1/2,y+1/2,-z'
'x+1/2,-y+1/2,z'
loop_
_atom_site_label
_atom_site_type_symbol
_atom_site_fract_x
_atom_site_fract_y
_atom_site_fract_z
Ba1 Ba 0.000 0.000 0.000
Si1 Si 0.249 0.500 0.378
Pb1 Pb 0.000 0.500 0.500

# Ba3SiPb GGA-PBE relaxed
# DOS(E_F) (states/eV per cell): 9.7
# Energy above the most stable polymorph in this dataset (eV/atom): 0.2463
# Formation energy (no corrections) (eV per atom): -0.114
data_Ba3SiPb
_symmetry_space_group_name_H-M 'P m -3 m'
_symmetry_Int_Tables_number 221
_symmetry_space_group_name_Hall '-P 4 2 3'
_cell_length_a 6.288
_cell_length_b 6.288
_cell_length_c 6.288
_cell_angle_alpha 90.00
_cell_angle_beta 90.00
_cell_angle_gamma 90.00
loop_
_atom_site_label
_atom_site_type_symbol
_atom_site_fract_x
_atom_site_fract_y
_atom_site_fract_z
Ba1 Ba 0.000 0.000 0.500
Si1 Si 0.000 0.000 0.000
Pb1 Pb 0.500 0.500 0.500

# BaSi2Pb GGA-PBE relaxed
# DOS(E_F) (states/eV per cell): 2.2
# Formation energy (no corrections) (eV per atom): 0.082
data_BaSi2Pb
_symmetry_space_group_name_H-M 'P 4 m m'
_symmetry_Int_Tables_number 99
_cell_length_a 3.710
_cell_length_b 3.710
_cell_length_c 7.556
_cell_angle_alpha 90.00
_cell_angle_beta 90.00
_cell_angle_gamma 90.00
loop_
_symmetry_equiv_pos_as_xyz
'x,y,z'
'-y,x,z'
'-x,-y,z'
'y,-x,z'
'-x,y,z'
'y,x,z'
'x,-y,z'
'-y,-x,z'
loop_
_atom_site_label
_atom_site_type_symbol
_atom_site_fract_x
_atom_site_fract_y
_atom_site_fract_z
Ba1 Ba 0.000 0.000 0.000
Si1 Si 0.000 0.000 0.585
Si2 Si 0.500 0.500 0.707
Pb1 Pb 0.500 0.500 0.349

# Ba12Si5Pb GGA-PBE relaxed
# DOS(E_F) (states/eV per cell): 31.5
# Formation energy (no corrections) (eV per atom): -0.299
data_Ba12Si5Pb
_symmetry_space_group_name_H-M 'I m m m'
_symmetry_Int_Tables_number 71
_symmetry_space_group_name_Hall '-I 2 2'
_cell_length_a 11.014
_cell_length_b 11.511
_cell_length_c 11.851
_cell_angle_alpha 90.00
_cell_angle_beta 90.00
_cell_angle_gamma 90.00
loop_
_atom_site_label
_atom_site_type_symbol
_atom_site_fract_x
_atom_site_fract_y
_atom_site_fract_z
Ba1 Ba 0.000 0.197 0.216
Ba2 Ba 0.197 0.500 0.179
Ba3 Ba 0.215 0.319 0.500
Si1 Si 0.000 0.000 0.000
Si2 Si 0.000 0.390 0.000
Si3 Si 0.000 0.500 0.397
Pb1 Pb 0.000 0.000 0.500

# BaSi2Pb GGA-PBE relaxed
# DOS(E_F) (states/eV per cell): 3.1
# Formation energy (no corrections) (eV per atom): -0.137
data_BaSi2Pb
_symmetry_space_group_name_H-M 'I m m 2'
_symmetry_Int_Tables_number 44
_cell_length_a 3.907
_cell_length_b 4.870
_cell_length_c 12.023
_cell_angle_alpha 90.00
_cell_angle_beta 90.00
_cell_angle_gamma 90.00
loop_
_symmetry_equiv_pos_as_xyz
'x,y,z'
'-x,-y,z'
'-x,y,z'
'x,-y,z'
'x+1/2,y+1/2,z+1/2'
'-x+1/2,-y+1/2,z+1/2'
'-x+1/2,y+1/2,z+1/2'
'x+1/2,-y+1/2,z+1/2'
loop_
_atom_site_label
_atom_site_type_symbol
_atom_site_fract_x
_atom_site_fract_y
_atom_site_fract_z
Ba1 Ba 0.000 0.000 0.000
Si1 Si 0.000 0.000 0.624
Si2 Si 0.000 0.500 0.249
Pb1 Pb 0.000 0.500 0.768

# BaSi2Pb GGA-PBE relaxed
# DOS(E_F) (states/eV per cell): 0.1
# Formation energy (no corrections) (eV per atom): 0.204
data_BaSi2Pb
_symmetry_space_group_name_H-M 'I -4 2 d'
_symmetry_Int_Tables_number 122
_symmetry_space_group_name_Hall 'I -4 2bw'
_cell_length_a 8.226
_cell_length_b 8.226
_cell_length_c 7.077
_cell_angle_alpha 90.00
_cell_angle_beta 90.00
_cell_angle_gamma 90.00
loop_
_atom_site_label
_atom_site_type_symbol
_atom_site_fract_x
_atom_site_fract_y
_atom_site_fract_z
Ba1 Ba 0.000 0.000 0.000
Si1 Si 0.198 0.250 0.625
Pb1 Pb 0.000 0.000 0.500

# BaSi2Pb GGA-PBE relaxed
# DOS(E_F) (states/eV per cell): 2.3
# Formation energy (no corrections) (eV per atom): 0.264
data_BaSi2Pb
_symmetry_space_group_name_H-M 'I -4 m 2'
_symmetry_Int_Tables_number 119
_symmetry_space_group_name_Hall 'I -4 -2'
_cell_length_a 4.666
_cell_length_b 4.666
_cell_length_c 9.885
_cell_angle_alpha 90.00
_cell_angle_beta 90.00
_cell_angle_gamma 90.00
loop_
_atom_site_label
_atom_site_type_symbol
_atom_site_fract_x
_atom_site_fract_y
_atom_site_fract_z
Ba1 Ba 0.000 0.000 0.000
Si1 Si 0.000 0.000 0.500
Si2 Si 0.000 0.500 0.250
Pb1 Pb 0.000 0.500 0.750

# BaSi2Pb GGA-PBE relaxed
# DOS(E_F) (states/eV per cell): 2.6
# Formation energy (no corrections) (eV per atom): 0.029
data_BaSi2Pb
_symmetry_space_group_name_H-M 'P 4/m m m'
_symmetry_Int_Tables_number 123
_symmetry_space_group_name_Hall '-P 4 2'
_cell_length_a 4.062
_cell_length_b 4.062
_cell_length_c 6.894
_cell_angle_alpha 90.00
_cell_angle_beta 90.00
_cell_angle_gamma 90.00
loop_
_atom_site_label
_atom_site_type_symbol
_atom_site_fract_x
_atom_site_fract_y
_atom_site_fract_z
Ba1 Ba 0.000 0.000 0.000
Si1 Si 0.500 0.500 0.329
Pb1 Pb 0.000 0.000 0.500

# BaSiPb GGA-PBE relaxed
# Energy above the most stable polymorph in this dataset (eV/atom): 0.0072
# Formation energy (no corrections) (eV per atom): -0.311
data_BaSiPb
_symmetry_space_group_name_H-M 'P 3 m 1'
_symmetry_Int_Tables_number 156
_cell_length_a 4.5344
_cell_length_b 4.5344
_cell_length_c 5.5871
_cell_angle_alpha 90.00
_cell_angle_beta 90.00
_cell_angle_gamma 120.00
loop_
_symmetry_equiv_pos_as_xyz
'x,y,z'
'-y,x-y,z'
'-x+y,-x,z'
'-y,-x,z'
'-x+y,y,z'
'x,x-y,z'
loop_
_atom_site_label
_atom_site_type_symbol
_atom_site_fract_x
_atom_site_fract_y
_atom_site_fract_z
Ba1 Ba 0.0000 0.0000 0.0000
Si1 Si 0.3333 0.6667 0.6542
Pb1 Pb 0.6667 0.3333 0.4515

Which of these has the lowest formation energy (no corrections)? number 12

Which formula does entry 10 have? BaSi2Pb